(1)
A geometry-optimized CuOsBr6 structure, computed with PBE-GGA.

Calculated values
Density ... 5.80 g cm⁻³
Excess energy over the best structure of this formula in the dataset ... 54 meV/atom
Spin magnetization ... 2.66 μB per formula unit
Formation energy (no corrections) ... -0.1051 eV/atom
Crystal system ... triclinic

Lattice parameters (Å, degrees): 6.4609 6.4655 6.9005 62.01 62.04 60.03
Site moments in Bohr magnetons follow the coordinates.
Atoms (fractional coordinates):
1 Cu 0.5000 0.5000 0.5000  0.21
2 Os 0.0000 0.0000 0.0000  1.43
3 Br 0.0863 0.3975 0.7538  0.12
4 Br 0.7628 0.0861 0.7539  0.12
5 Br 0.6029 0.2370 0.2458  0.12
6 Br 0.2372 0.9139 0.2461  0.12
7 Br 0.9137 0.6025 0.2462  0.12
8 Br 0.3971 0.7630 0.7542  0.12

---

(2)
A geometry-optimized UCo2GeH structure, computed with PBE-GGA.

Calculated values
Density ... 11.13 g cm⁻³
DFT total energy ... -69.9 eV/cell
Spin magnetization ... 1.09 μB per formula unit
Crystal system ... orthorhombic

Lattice parameters (Å, degrees): 3.8855 5.6137 6.2604 90.00 90.00 110.25
Site moments in Bohr magnetons follow the coordinates.
Atoms (fractional coordinates):
1 U 0.4134 0.8269 0.7500  1.58
2 U 0.5866 0.1731 0.2500  1.58
3 Co 0.1578 0.3156 0.9618  -0.31
4 Co 0.8422 0.6844 0.0382  -0.31
5 Co 0.1578 0.3156 0.5382  -0.31
6 Co 0.8422 0.6844 0.4618  -0.31
7 Ge 0.6940 0.3880 0.7500  0.00
8 Ge 0.3060 0.6120 0.2500  0.00
9 H 0.0000 0.0000 0.0000  -0.01
10 H 0.0000 0.0000 0.5000  -0.01